Li2LaSe PBE optimized geometry; calculated total energy = -3.73 eV per atom; formation energy from raw total energies = -0.67 eV/atom; SG = C2/m; magnetic moment = 0.00 μB per cell
1.0
-4.781 4.868 -0.382
-0.701 -6.496 2.005
-2.137 -0.010 3.607
La Li Se
1 2 1
Direct
0.000 0.500 0.500 La
0.000 0.000 0.000 Li
0.500 0.500 0.000 Li
0.500 0.000 0.500 Se

***

CaCo3Pb PBE optimized geometry; calculated total energy = -4.34 eV per atom; energy relative to the elements = 1062 meV per atom; energy above the lowest structure with this stoichiometry = 0 meV per atom; SG = Pm-3m; magnetic moment = 4.40 μB per cell
1.0
4.879 0.000 0.000
0.000 4.879 0.000
0.000 0.000 4.879
Co Pb Ca
3 1 1
Direct
0.000 0.500 0.000 Co
0.000 0.000 0.500 Co
0.500 0.000 0.000 Co
0.000 0.000 0.000 Pb
0.500 0.500 0.500 Ca

***

SrBeRhO5 PBE optimized geometry; calculated total energy = -6.26 eV per atom; formation energy from raw total energies = -1.57 eV/atom; SG = C2/c; magnetic moment = 2.44 μB per cell
1.0
-5.373 -0.297 1.290
2.855 -0.238 4.734
0.855 6.765 -2.157
O Be Sr Rh
10 2 2 2
Direct
0.387 0.235 0.086 O
0.106 0.701 0.885 O
0.613 0.765 0.914 O
0.073 0.927 0.250 O
0.299 0.894 0.615 O
0.927 0.073 0.750 O
0.701 0.106 0.385 O
0.894 0.299 0.115 O
0.765 0.613 0.414 O
0.235 0.387 0.586 O
0.305 0.695 0.750 Be
0.695 0.305 0.250 Be
0.656 0.344 0.750 Sr
0.344 0.656 0.250 Sr
0.000 0.000 0.500 Rh
0.000 0.000 0.000 Rh

***

In2SnBiH PBE optimized geometry; calculated total energy = -3.14 eV per atom; energy above the lowest structure with this stoichiometry = 4 meV per atom; SG = P4/mmm; magnetic moment = 0.00 μB per cell
1.0
-1.214 -1.591 5.472
5.689 -0.016 1.257
-0.212 3.619 1.005
In H Bi Sn
2 1 1 1
Direct
0.000 0.500 0.000 In
0.500 0.000 0.000 In
0.000 0.000 0.500 H
0.500 0.500 0.500 Bi
0.000 0.000 0.000 Sn

***

Pt2Pb PBE optimized geometry; calculated total energy = -5.38 eV per atom; energy relative to the elements = -113 meV per atom; SG = Cm; magnetic moment = 0.00 μB per cell
1.0
5.566 -0.080 -0.052
3.976 3.896 -0.052
-9.561 -3.824 5.545
Pt Pb
4 2
Direct
0.496 0.496 0.538 Pt
0.639 0.639 0.261 Pt
0.104 0.104 0.759 Pt
0.804 0.804 0.041 Pt
0.094 0.094 0.033 Pb
0.196 0.196 0.535 Pb

***

Tm4Te2AuS PBE optimized geometry; calculated total energy = -5.24 eV per atom; formation energy from raw total energies = -1.29 eV/atom; SG = P2/m; magnetic moment = 0.00 μB per cell
1.0
4.036 0.000 0.000
0.000 7.314 0.203
0.000 -2.480 6.909
Tm Au Te S
4 1 2 1
Direct
0.500 0.766 0.785 Tm
0.000 0.261 0.781 Tm
0.500 0.234 0.215 Tm
0.000 0.739 0.219 Tm
0.500 0.500 0.000 Au
0.500 0.000 0.500 Te
0.000 0.500 0.500 Te
0.000 0.000 0.000 S

***

La2TlCu PBE optimized geometry; calculated total energy = -4.21 eV per atom; energy relative to the elements = -128 meV per atom; SG = I-4m2; magnetic moment = 0.00 μB per cell
1.0
-1.405 4.793 -3.557
-3.984 4.024 2.354
5.155 -2.729 1.893
La Tl Cu
2 1 1
Direct
0.000 0.000 0.000 La
0.250 0.750 0.500 La
0.500 0.500 0.000 Tl
0.750 0.250 0.500 Cu

***

PuTi2H PBE optimized geometry; calculated total energy = -8.39 eV per atom; energy above the lowest structure with this stoichiometry = 0 meV per atom; SG = R3m; magnetic moment = 4.51 μB per cell
1.0
-2.541 1.357 -0.730
-2.416 -1.611 -0.634
-3.652 0.066 6.783
Ti H Pu
2 1 1
Direct
0.054 0.054 0.839 Ti
0.280 0.280 0.161 Ti
0.666 0.666 0.003 H
0.501 0.501 0.498 Pu

***

Tb4NdSm5 PBE optimized geometry; calculated total energy = -4.41 eV per atom; energy relative to the elements = 280 meV per atom; energy above the lowest structure with this stoichiometry = 266 meV per atom; SG = I4; magnetic moment = 0.00 μB per cell
1.0
6.316 0.000 0.000
3.158 7.296 0.000
3.158 0.000 7.296
Tb Sm Nd
4 5 1
Direct
0.407 0.392 0.698 Tb
0.497 0.608 0.302 Tb
0.799 0.698 0.608 Tb
0.106 0.302 0.392 Tb
0.720 0.079 0.381 Sm
0.101 0.619 0.079 Sm
0.679 0.000 0.000 Sm
0.799 0.381 0.921 Sm
0.181 0.921 0.619 Sm
0.221 0.000 0.000 Nd

***

CaVS PBE optimized geometry; calculated total energy = -5.87 eV per atom; formation energy from raw total energies = -0.78 eV/atom; energy above the lowest structure with this stoichiometry = 80 meV per atom; SG = P1; magnetic moment = 0.00 μB per cell
1.0
-2.769 -0.933 -2.357
0.923 -3.126 -1.866
-4.346 -5.912 6.114
V Ca S
2 2 2
Direct
0.249 0.680 0.615 V
0.793 0.137 0.615 V
0.809 0.703 0.326 Ca
0.860 0.752 0.961 Ca
0.474 0.367 0.139 S
0.255 0.145 0.784 S

***

Al2OsCl PBE optimized geometry; calculated total energy = -5.07 eV per atom; formation energy from raw total energies = 0.07 eV/atom; energy above the lowest structure with this stoichiometry = 543 meV per atom; SG = Pmm2; magnetic moment = 0.00 μB per cell
1.0
2.968 0.000 0.000
0.000 3.960 0.000
0.000 0.000 7.425
Al Cl Os
2 1 1
Direct
0.000 0.000 0.916 Al
0.500 0.500 0.251 Al
0.000 0.000 0.400 Cl
0.500 0.500 0.933 Os

***

MnCuNi3 PBE optimized geometry; calculated total energy = -6.12 eV per atom; energy relative to the elements = -1 meV per atom; energy above the lowest structure with this stoichiometry = 0 meV per atom; SG = C2; magnetic moment = 10.17 μB per cell
1.0
4.834 -0.344 -0.491
-0.800 4.984 3.309
-0.800 1.397 5.817
Ni Mn Cu
6 2 2
Direct
0.599 0.117 0.481 Ni
0.898 0.680 0.721 Ni
0.102 0.279 0.320 Ni
0.401 0.519 0.883 Ni
0.790 0.717 0.077 Ni
0.210 0.923 0.283 Ni
0.716 0.082 0.129 Mn
0.284 0.871 0.918 Mn
0.500 0.480 0.520 Cu
0.000 0.331 0.669 Cu

***

TaAuOF2 PBE optimized geometry; calculated total energy = -6.30 eV per atom; formation energy from raw total energies = -1.54 eV/atom; SG = P4/mmm; magnetic moment = 0.00 μB per cell
1.0
-3.197 -0.712 -2.709
-0.799 -3.708 1.918
-2.476 1.801 2.449
Ta F O Au
1 2 1 1
Direct
0.000 0.000 0.000 Ta
0.500 0.000 0.000 F
0.000 0.500 0.000 F
0.000 0.000 0.500 O
0.500 0.500 0.500 Au

***

SrLiNi2 PBE optimized geometry; calculated total energy = -3.55 eV per atom; energy relative to the elements = 238 meV per atom; energy above the lowest structure with this stoichiometry = 240 meV per atom; SG = I4_1/amd; magnetic moment = 0.00 μB per cell
1.0
4.577 0.000 0.000
0.000 4.577 0.000
2.288 2.288 8.179
Ni Li Sr
4 2 2
Direct
0.375 0.625 0.250 Ni
0.875 0.625 0.750 Ni
0.375 0.625 0.750 Ni
0.375 0.125 0.250 Ni
0.500 0.500 0.000 Li
0.250 0.750 0.500 Li
0.750 0.250 0.500 Sr
0.000 0.000 0.000 Sr

***

Ti5CN4 PBE optimized geometry; calculated total energy = -9.75 eV per atom; formation energy from raw total energies = -1.55 eV/atom; energy above the lowest structure with this stoichiometry = 6 meV per atom; SG = R-3m; magnetic moment = 0.00 μB per cell
1.0
-5.177 9.813 -5.602
-7.007 7.714 -6.774
-7.629 8.926 -4.077
Ti N C
5 4 1
Direct
0.399 0.399 0.399 Ti
0.601 0.601 0.601 Ti
0.200 0.200 0.200 Ti
0.000 0.000 0.000 Ti
0.800 0.800 0.800 Ti
0.099 0.099 0.099 N
0.700 0.700 0.700 N
0.300 0.300 0.300 N
0.901 0.901 0.901 N
0.500 0.500 0.500 C

***

Cs2Ga2As3 PBE optimized geometry; calculated total energy = -3.43 eV per atom; energy relative to the elements = -331 meV per atom; SG = C2/m; magnetic moment = 0.00 μB per cell
1.0
4.029 0.000 0.000
0.000 9.345 -1.488
-2.015 -4.316 6.756
As Ga Cs
3 2 2
Direct
0.194 0.606 0.389 As
0.000 0.000 0.000 As
0.806 0.394 0.611 As
0.811 0.675 0.622 Ga
0.189 0.325 0.378 Ga
0.430 0.223 0.861 Cs
0.570 0.777 0.139 Cs

***

YAlNi5Ge2 PBE optimized geometry; calculated total energy = -5.51 eV per atom; energy relative to the elements = -142 meV per atom; SG = P4/mmm; magnetic moment = 0.00 μB per cell
1.0
4.315 0.000 0.000
0.000 4.315 0.000
0.000 0.000 7.313
Ge Y Ni Al
2 1 5 1
Direct
0.500 0.500 0.164 Ge
0.500 0.500 0.836 Ge
0.000 0.000 0.500 Y
0.000 0.500 0.736 Ni
0.000 0.500 0.264 Ni
0.500 0.000 0.264 Ni
0.500 0.500 0.500 Ni
0.500 0.000 0.736 Ni
0.000 0.000 0.000 Al

***

Lu3In PBE optimized geometry; calculated total energy = -4.28 eV per atom; energy relative to the elements = -207 meV per atom; SG = Imm2; magnetic moment = 0.00 μB per cell
1.0
-2.328 1.267 2.170
-3.454 -4.602 -1.020
5.262 -1.024 3.540
Lu In
3 1
Direct
0.734 0.075 0.468 Lu
0.500 0.478 0.000 Lu
0.266 0.606 0.532 Lu
0.000 0.007 0.000 In

***

ZrHgPb2 PBE optimized geometry; calculated total energy = -3.99 eV per atom; energy relative to the elements = 79 meV per atom; SG = Pmmm; magnetic moment = 0.00 μB per cell
1.0
-1.923 2.615 0.917
-2.596 -3.265 3.867
3.692 1.425 3.682
Pb Hg Zr
2 1 1
Direct
0.500 0.500 0.000 Pb
0.000 0.000 0.000 Pb
0.000 0.500 0.500 Hg
0.500 0.000 0.500 Zr

***

Cs2RbZnGe2 PBE optimized geometry; calculated total energy = -2.21 eV per atom; energy relative to the elements = -11 meV per atom; energy above the lowest structure with this stoichiometry = 17 meV per atom; SG = P1; magnetic moment = 0.53 μB per cell
1.0
5.186 0.004 -0.001
-0.498 6.191 0.007
-0.923 -0.138 8.793
Cs Ge Rb Zn
2 2 1 1
Direct
0.934 0.200 0.100 Cs
0.295 0.704 0.794 Cs
0.668 0.221 0.691 Ge
0.444 0.172 0.423 Ge
0.768 0.695 0.410 Rb
0.063 0.201 0.562 Zn

***

Sm2Dy3Y8 PBE optimized geometry; calculated total energy = -5.62 eV per atom; energy relative to the elements = 144 meV per atom; energy above the lowest structure with this stoichiometry = 0 meV per atom; SG = Pbam; magnetic moment = 0.00 μB per cell
1.0
3.522 0.000 0.000
0.000 11.760 0.000
0.000 0.000 20.707
Y Dy Sm
16 6 4
Direct
0.000 0.446 0.658 Y
0.000 0.054 0.158 Y
0.500 0.955 0.572 Y
0.000 0.946 0.842 Y
0.000 0.554 0.342 Y
0.500 0.045 0.428 Y
0.000 0.208 0.552 Y
0.000 0.292 0.052 Y
0.500 0.871 0.286 Y
0.500 0.371 0.214 Y
0.000 0.708 0.948 Y
0.500 0.545 0.072 Y
0.500 0.455 0.928 Y
0.500 0.129 0.714 Y
0.500 0.629 0.786 Y
0.000 0.792 0.448 Y
0.000 0.500 0.500 Dy
0.000 0.000 0.000 Dy
0.000 0.146 0.299 Dy
0.000 0.354 0.799 Dy
0.000 0.646 0.201 Dy
0.000 0.854 0.701 Dy
0.500 0.821 0.098 Sm
0.500 0.321 0.402 Sm
0.500 0.179 0.902 Sm
0.500 0.679 0.598 Sm

***

BeTcRuCCl PBE optimized geometry; calculated total energy = -6.78 eV per atom; formation energy from raw total energies = 0.10 eV/atom; energy above the lowest structure with this stoichiometry = 0 meV per atom; SG = Cm; magnetic moment = 0.00 μB per cell
1.0
-5.914 2.958 -4.787
-0.030 -2.638 -1.593
-2.425 -2.582 4.322
Be Ru Tc Cl C
2 2 2 2 2
Direct
0.459 0.000 0.267 Be
0.459 0.500 0.767 Be
0.230 0.500 0.978 Ru
0.230 0.000 0.478 Ru
0.971 0.500 0.525 Tc
0.971 0.000 0.025 Tc
0.657 0.500 0.378 Cl
0.657 0.000 0.878 Cl
0.094 0.500 0.252 C
0.094 0.000 0.752 C